This record from Alexandria via LeMat-Bulk describes a relaxed V2InI6 crystal. The functional is PBE-GGA.

Calculated values
Formation energy without anion corrections (eV per atom): -0.459

Cell and atoms, written as CIF:
```
data_V2InI6
_cell_length_a 7.420
_cell_length_b 7.318
_cell_length_c 7.318
_cell_angle_alpha 120.00
_cell_angle_beta 90.00
_cell_angle_gamma 90.00
_symmetry_space_group_name_H-M 'P 1'
_symmetry_Int_Tables_number 1
loop_
_symmetry_equiv_pos_as_xyz
'x,y,z'
loop_
_atom_site_label
_atom_site_fract_x
_atom_site_fract_y
_atom_site_fract_z
V1 0.500 0.667 0.333
V2 0.500 0.333 0.667
In1 0.000 0.000 0.000
I1 0.715 0.625 0.625
I2 0.285 0.625 0.000
I3 0.285 0.000 0.625
I4 0.715 0.375 0.000
I5 0.285 0.375 0.375
I6 0.715 0.000 0.375
```


This record from Alexandria via LeMat-Bulk describes a relaxed Rb4Au3F crystal. The functional is PBE-GGA.

Calculated values
Formation energy without anion corrections (eV per atom): -0.790

Cell and atoms, written as CIF:
```
data_Rb4Au3F
_cell_length_a 7.550
_cell_length_b 7.550
_cell_length_c 7.550
_cell_angle_alpha 106.02
_cell_angle_beta 111.22
_cell_angle_gamma 111.22
_symmetry_space_group_name_H-M 'P 1'
_symmetry_Int_Tables_number 1
loop_
_symmetry_equiv_pos_as_xyz
'x,y,z'
loop_
_atom_site_label
_atom_site_fract_x
_atom_site_fract_y
_atom_site_fract_z
Au1 0.000 0.500 0.500
Au2 0.500 0.750 0.250
Au3 0.500 0.250 0.750
Rb1 0.000 0.714 0.152
Rb2 0.438 0.286 0.286
Rb3 0.562 0.848 0.848
Rb4 0.000 0.152 0.714
F1 0.000 0.000 0.000
```


This record from Alexandria via LeMat-Bulk describes a relaxed LiIr2Ru crystal. The functional is PBE-GGA.

Calculated values
ΔE_f (eV per formula unit): 0.1

Cell and atoms, written as CIF:
```
data_LiIr2Ru
_cell_length_a 4.075
_cell_length_b 2.674
_cell_length_c 5.137
_cell_angle_alpha 74.89
_cell_angle_beta 90.00
_cell_angle_gamma 90.00
_symmetry_space_group_name_H-M 'P 1'
_symmetry_Int_Tables_number 1
loop_
_symmetry_equiv_pos_as_xyz
'x,y,z'
loop_
_atom_site_label
_atom_site_fract_x
_atom_site_fract_y
_atom_site_fract_z
Ir1 0.000 0.946 0.982
Ir2 0.500 0.297 0.281
Li1 0.000 0.696 0.486
Ru1 0.500 0.562 0.751
```


Number 1: raw total energy -3.82 eV per atom. Number 2: raw total energy -2.74 eV per atom. Number 3: raw total energy -7.20 eV per atom.